Compound: Ta2CrNO5
Source: Alexandria
Functional: PBE with a Hubbard U
Structure: optimized geometry

energy relative to the lowest polymorph listed for this composition	3	meV/atom
VASP energy	-9.4088	eV/atom
size of the total moment	3.00	μB per formula unit

abc: 6.686 6.735 9.286
angles: 90.00 90.00 90.00
Space group Cmmm (No. 65)
Asymmetric unit:
Ta1 0.000 0.000 0.157
Ta2 0.000 0.500 0.332
Cr1 0.000 0.000 0.500
Cr2 0.000 0.500 0.000
N1 0.196 0.000 0.000
O1 0.000 0.304 0.174
O2 0.000 0.306 0.500
O3 0.199 0.000 0.336